DFT (PBE) results for YZn3Pb after structural relaxation.

Output
The value obtained for the energy of formation from the pure elements is 740 meV/atom. The value obtained for the polymorph energy (0 for the lowest one) is 201 meV per atom. The value obtained for the electronic total energy is -2.0592 eV per atom.

Lattice parameters (Å, degrees): 5.433 5.433 5.433 90.00 90.00 90.00
Fractional coordinates of all 5 atoms:
Pb  0.500  0.500  0.500
Y  0.000  0.000  0.000
Zn  0.000  0.500  0.000
Zn  0.000  0.000  0.500
Zn  0.500  0.000  0.000